(1)
Here is a geometry-optimized UNbRe structure from the Alexandria database. Energies are from PBE-GGA.

Output
* E_form: 0.290 eV per atom
* relative energy among the computed polymorphs: 0.037 eV/atom

abc: 3.057 6.258 11.851
angles: 90.00 90.00 90.00
Site moments in Bohr magnetons follow the coordinates.
Positions (direct):
U1 0.750 0.639 0.735  0.86
Nb1 0.250 0.367 0.569  -0.03
Re1 0.250 0.882 0.573  -0.04
Nb2 0.750 0.867 0.931  -0.03
Nb3 0.250 0.133 0.069  -0.03
Re2 0.750 0.382 0.927  -0.04
Re3 0.250 0.618 0.073  -0.04
Re4 0.750 0.118 0.427  -0.04
U2 0.250 0.361 0.265  0.86
Nb4 0.750 0.633 0.431  -0.03
U3 0.750 0.861 0.235  0.86
U4 0.250 0.139 0.765  0.86

---

(2)
Here is a geometry-optimized LaY3Cu2 structure from the Alexandria database. Energies are from PBE-GGA.

Output
* E_form: -0.147 eV per atom

abc: 3.514 3.514 12.435
angles: 90.00 90.00 90.00
Positions (direct):
La1 0.500 0.500 0.500
Y1 0.000 0.000 0.725
Y2 0.000 0.000 0.000
Y3 0.000 0.000 0.275
Cu1 0.500 0.500 0.858
Cu2 0.500 0.500 0.142

---

(3)
Here is a geometry-optimized Li2ThTlCl8 structure from the Alexandria database. Energies are from PBE-GGA.

Output
* raw formation energy: -1.637 eV/atom

abc: 6.297 6.260 8.564
angles: 89.88 89.88 93.45
Positions (direct):
Th1 0.000 0.000 0.000
Tl1 0.000 0.000 0.500
Cl1 0.799 0.212 0.227
Cl2 0.201 0.788 0.773
Cl3 0.676 0.680 0.500
Li1 0.502 0.502 0.262
Cl4 0.315 0.304 0.999
Cl5 0.201 0.788 0.227
Cl6 0.685 0.696 0.001
Cl7 0.799 0.212 0.773
Cl8 0.324 0.320 0.500
Li2 0.498 0.498 0.738